# KAlAs2

An optimized crystal structure of KAlAs2 (PBEsol, Alexandria).

Properties
**Magnetic moment**: 0.0 μB/f.u.
**Final energy**: -3.60 eV/atom
**Calculated density**: 4113 kg/m3
**Calculated volume**: 87 Å³/f.u.

```
KAlAs2
1.0
2.923 0.000 0.000
0.000 2.923 0.000
0.000 0.000 10.204
K Al As
1 1 2
direct
0.000 0.000 0.000
0.500 0.500 0.281
0.000 0.000 0.465
0.500 0.500 0.740
```

***

# KAl2As

An optimized crystal structure of KAl2As (PBEsol, Alexandria).

Properties
**Magnetic moment**: 0.0 μB/f.u.
**Final energy**: -3.30 eV/atom
**Calculated density**: 3175 kg/m3
**Calculated volume**: 88 Å³/f.u.

```
KAl2As
1.0
-2.198 2.198 4.546
2.198 -2.198 4.546
2.198 2.198 -4.546
K Al As
1 2 1
direct
0.000 0.000 0.000
0.250 0.750 0.500
0.750 0.250 0.500
0.500 0.500 0.000
```

***

# KAl2As

An optimized crystal structure of KAl2As (PBEsol, Alexandria).

Properties
**Magnetic moment**: 0.0 μB/f.u.
**Final energy**: -3.52 eV/atom
**Calculated density**: 2802 kg/m3
**Calculated volume**: 100 Å³/f.u.

```
KAl2As
1.0
5.777 -1.596 0.000
5.777 1.596 0.000
-2.205 0.000 5.398
K Al As
1 2 1
direct
0.000 0.000 0.000
0.193 0.193 0.633
0.807 0.807 0.367
0.500 0.500 0.500
```

***

# KAlAs2

An optimized crystal structure of KAlAs2 (PBEsol, Alexandria).

Properties
**Magnetic moment**: 0.0 μB/f.u.
**Final energy**: -4.02 eV/atom
**Calculated density**: 2991 kg/m3
**Calculated volume**: 120 Å³/f.u.

```
KAlAs2
1.0
-2.813 2.813 7.576
2.813 -2.813 7.576
2.813 2.813 -7.576
K Al As
2 2 4
direct
0.000 0.000 0.000
0.750 0.250 0.500
0.250 0.750 0.500
0.500 0.500 0.000
0.304 0.625 0.179
0.375 0.554 0.679
0.446 0.125 0.821
0.875 0.696 0.321
```